Entry from the Alexandria database: a relaxed structure of TiWO (GGA+U).

raw total energy = -7.62 eV/atom
total magnetic moment = 0.000 μB/atom

Cell: 3.3466 3.3466 9.3777 Å, 69.22 69.22 61.00°
Last column: nearest neighbours and their distance in Å.
Element x y z (fractional)
W 0.2828 0.2828 0.0417  1 O 2.29
Ti 0.1094 0.1094 0.7991  3 O 1.95-1.96
O 0.2892 0.2892 0.5333  3 Ti 1.95-1.96
W 0.4704 0.4704 0.2657  1 O 2.29
O 0.4640 0.4640 0.7741  3 Ti 1.95-1.96
Ti 0.6438 0.6438 0.5083  3 O 1.95-1.96